Entry 1:
! BaSrCdP2, optimized geometry, DFT PBE-GGA; values from VASP
! Raw total energy ... -3.931 eV/atom
! Symmetry ... Cmc2_1
&SYSTEM
  ibrav = 0, nat = 10, ntyp = 4
/
ATOMIC_SPECIES
Ba 137.33 Ba.upf
Cd 112.41 Cd.upf
P 30.97 P.upf
Sr 87.62 Sr.upf
ATOMIC_POSITIONS angstrom
Ba 2.1986 -7.4723 1.8707
Cd 2.1986 1.6326 4.7266
P 2.1986 -5.2612 4.1031
P 2.1986 5.2612 0.0781
Sr 2.1986 -4.8974 7.0905
Sr 2.1986 4.8974 3.0656
Ba 2.1986 7.4723 5.8957
P 2.1986 -1.0147 3.4128
Cd 2.1986 -1.6326 0.7016
P 2.1986 1.0147 7.4377
CELL_PARAMETERS angstrom
2.1986 -8.2404 0.0000
2.1986 8.2404 0.0000
0.0000 0.0000 8.0500

Entry 2:
! BaPaCd, optimized geometry, DFT PBE-GGA; values from VASP
! Raw total energy ... -3.209 eV/atom
! Symmetry ... F-43m
&SYSTEM
  ibrav = 0, nat = 3, ntyp = 3
/
ATOMIC_SPECIES
Ba 137.33 Ba.upf
Pa 231.04 Pa.upf
Cd 112.41 Cd.upf
ATOMIC_POSITIONS angstrom
Ba 1.9131 1.9131 1.9131
Pa 5.7394 5.7394 5.7394
Cd 0.0000 0.0000 0.0000
CELL_PARAMETERS angstrom
0.0000 3.8263 3.8263
3.8263 0.0000 3.8263
3.8263 3.8263 0.0000